DFT (GGA-PBE) results for crystalline ScTaTi2C4 at its relaxed geometry.

Values from the calculation:
**V**: 10.98 A^3/atom
**E**: -76.54 eV/cell
**Density of states at the Fermi level**: 0.303 states/eV per atom
**Calculated formation energy**: -0.709 eV per atom

a = 5.452 Å, b = 5.452 Å, c = 5.452 Å
α = 131.95°, β = 131.95°, γ = 70.31°
Element x y z (fractional)
Sc: 0.000 0.000 0.000
Ta: 0.500 0.500 0.000
Ti: 0.250 0.750 0.500
Ti: 0.750 0.250 0.500
C: 0.000 0.500 0.500
C: 0.255 0.255 0.000
C: 0.500 0.000 0.500
C: 0.745 0.745 0.000